Compound: CaDyCuGe
Source: the Alexandria database
Functional: PBE
Structure: optimized geometry

Values from the calculation:
**Space-group type**: F-43m
**Total energy**: -17.135 eV per cell
**DOS(E_F)**: 1.65 states/eV/cell

a = 5.0112 Å, b = 5.0112 Å, c = 5.0112 Å
α = 60.00°, β = 60.00°, γ = 60.00°
Last column: nearest neighbours and their distance in Å.
Positions (direct):
1 Ca 0.0000 0.0000 0.0000  4 Ge 3.07, 4 Cu 3.07
2 Dy 0.5000 0.5000 0.5000  4 Ge 3.07, 4 Cu 3.07
3 Cu 0.2500 0.2500 0.2500  4 Dy 3.07, 4 Ca 3.07
4 Ge 0.7500 0.7500 0.7500  4 Dy 3.07, 4 Ca 3.07


Compound: CaDyCuHg
Source: the Alexandria database
Functional: PBE
Structure: optimized geometry

Values from the calculation:
**Space-group type**: F-43m
**Total energy**: -12.179 eV per cell
**DOS(E_F)**: 3.04 states/eV/cell

a = 5.1402 Å, b = 5.1402 Å, c = 5.1402 Å
α = 60.00°, β = 60.00°, γ = 60.00°
Last column: nearest neighbours and their distance in Å.
Positions (direct):
1 Ca 0.0000 0.0000 0.0000  4 Hg 3.15, 4 Cu 3.15
2 Dy 0.5000 0.5000 0.5000  4 Hg 3.15, 4 Cu 3.15
3 Cu 0.7500 0.7500 0.7500  4 Dy 3.15, 4 Ca 3.15
4 Hg 0.2500 0.2500 0.2500  4 Dy 3.15, 4 Ca 3.15


Q: Which of these has the lowest DOS(E_F)?
A: CaDyCuGe


Q: Which of these has the lowest DOS(E_F)?
A: CaDyCuGe


Q: What is the total energy in the second record?
A: -12.179 eV per cell


Q: The highest total energy belongs to which entry?
A: CaDyCuHg